ZrSc2N: optimized geometry, PBE.

Unit cell a=3.290 b=3.290 c=13.556 alpha=90.00 beta=90.00 gamma=90.00
Space group P4/nmm (No. 129, origin choice 2)
Inequivalent atoms, fractional coordinates:
Zr  0.250  0.250  0.079 x2
Sc  0.250  0.250  0.418 x2
Sc  0.250  0.250  0.751 x2
N  0.250  0.250  0.913 x2

E_form (uncorrected) (meV/atom): -865
Density (Mg/m³): 4.42
M_tot (μB per formula unit): 0.0

Zr5Sc3N8: optimized geometry, PBE.

Unit cell a=6.4700 b=6.4700 c=15.8866 alpha=90.00 beta=90.00 gamma=120.00
Space group R-3m (No. 166, hexagonal axes)
Inequivalent atoms, fractional coordinates:
Zr  0.0000  0.0000  0.0000 x3
Zr  0.0000  0.0000  0.5000 x3
Zr  0.0000  0.5000  0.0000 x9
Sc  0.0000  0.5000  0.5000 x9
N  0.0000  0.0000  0.2493 x6
N  0.0021  0.5010  0.7510 x18

E_form (uncorrected) (meV/atom): -1804
Density (Mg/m³): 6.08
M_tot (μB per formula unit): 0.0

ZrSc3N: optimized geometry, PBE.

Unit cell a=6.423 b=5.803 c=5.245 alpha=90.00 beta=90.00 gamma=90.00
Space group Pmn2_1 (No. 31)
Inequivalent atoms, fractional coordinates:
Zr  0.000  0.178  0.000 x2
Sc  0.000  0.819  0.469 x2
Sc  0.249  0.649  0.992 x4
N  0.000  0.493  0.235 x2

E_form (uncorrected) (meV/atom): -656
Distance to the lowest polymorph of the same formula (meV/atom): 0
Density (Mg/m³): 4.08
M_tot (μB per formula unit): 0.0

ZrScN2: optimized geometry, PBE.

Unit cell a=3.1918 b=3.1918 c=16.6182 alpha=90.00 beta=90.00 gamma=120.00
Space group R3m (No. 160, hexagonal axes)
Inequivalent atoms, fractional coordinates:
Zr  0.0000  0.0000  0.0000 x3
Sc  0.0000  0.0000  0.1746 x3
N  0.0000  0.0000  0.4168 x3
N  0.0000  0.0000  0.5876 x3

E_form (uncorrected) (meV/atom): -1581
Density (Mg/m³): 5.58
M_tot (μB per formula unit): 0.0

Zr4Sc5N10: optimized geometry, PBE.

Unit cell a=10.223 b=4.494 c=10.215 alpha=90.00 beta=90.02 gamma=90.00
Space group C2/m (No. 12)
Inequivalent atoms, fractional coordinates:
Zr  0.094  0.000  0.196 x4
Zr  0.198  0.000  0.903 x4
Sc  0.000  0.000  0.500 x2
Sc  0.100  0.500  0.700 x4
Sc  0.198  0.500  0.403 x4
N  0.000  0.000  0.000 x2
N  0.000  0.500  0.500 x2
N  0.100  0.000  0.702 x4
N  0.105  0.500  0.213 x4
N  0.199  0.000  0.401 x4
N  0.214  0.500  0.896 x4

E_form (uncorrected) (meV/atom): -1723
Density (Mg/m³): 5.16
M_tot (μB per formula unit): 0.0

Zr3Sc5N8: optimized geometry, PBE.

Unit cell a=6.4404 b=6.4404 c=15.7729 alpha=90.00 beta=90.00 gamma=120.00
Space group R-3m (No. 166, hexagonal axes)
Inequivalent atoms, fractional coordinates:
Zr  0.0000  0.5000  0.0000 x9
Sc  0.0000  0.0000  0.0000 x3
Sc  0.0000  0.0000  0.5000 x3
Sc  0.0000  0.5000  0.5000 x9
N  0.0000  0.0000  0.2494 x6
N  0.0001  0.5000  0.2500 x18

E_form (uncorrected) (meV/atom): -1876
Density (Mg/m³): 5.37
M_tot (μB per formula unit): 0.0